A relaxed PmSi3Ru3 crystal, computed with GGA-PBE.

Output
The offset from the most stable computed form is 0.00 eV/f.u. The total magnetization is 0.000 μB per atom. The calculation puts the volume at 437 Å³ per cell. The symmetry is No. 198. Its energy is -7.4581 eV/atom.

Cell: 7.5902 7.5902 7.5902 Å, 90.00 90.00 90.00°
Last column: nearest neighbours and their distance in Å.
Sites, in units of the cell vectors:
Ru (0.3259, 0.1741, 0.8259)  6 Si 2.55-2.58
Si (0.8109, 0.4197, 0.4959)  4 Ru 2.40-2.58, 2 Si 2.56
Ru (0.3939, 0.6061, 0.1061)  3 Si 2.40
Si (0.3109, 0.0803, 0.5041)  4 Ru 2.40-2.58, 2 Si 2.56
Ru (0.6741, 0.6741, 0.6741)  6 Si 2.55-2.58
Si (0.0803, 0.5041, 0.3109)  4 Ru 2.40-2.58, 2 Si 2.56
Ru (0.1061, 0.3939, 0.6061)  3 Si 2.40
Ru (0.2851, 0.7851, 0.7149)  6 Si 2.53-2.76
Ru (0.8259, 0.3259, 0.1741)  6 Si 2.55-2.58
Pm (0.0553, 0.5553, 0.9447)  6 Si 2.81-2.98, 5 Ru 2.87-3.02
Pm (0.5553, 0.9447, 0.0553)  6 Si 2.81-2.98, 5 Ru 2.87-3.02
Ru (0.1741, 0.8259, 0.3259)  6 Si 2.55-2.58
Si (0.9197, 0.0041, 0.1891)  4 Ru 2.40-2.58, 2 Si 2.56
Si (0.5041, 0.3109, 0.0803)  4 Ru 2.40-2.58, 2 Si 2.56
Ru (0.7851, 0.7149, 0.2851)  6 Si 2.53-2.76
Si (0.0041, 0.1891, 0.9197)  4 Ru 2.40-2.58, 2 Si 2.56
Ru (0.2149, 0.2149, 0.2149)  6 Si 2.53-2.76
Si (0.9959, 0.6891, 0.5803)  4 Ru 2.40-2.58, 2 Si 2.56
Pm (0.4447, 0.4447, 0.4447)  6 Si 2.81-2.98, 5 Ru 2.87-3.02
Si (0.4197, 0.4959, 0.8109)  4 Ru 2.40-2.58, 2 Si 2.56
Si (0.5803, 0.9959, 0.6891)  4 Ru 2.40-2.58, 2 Si 2.56
Si (0.1891, 0.9197, 0.0041)  4 Ru 2.40-2.58, 2 Si 2.56
Ru (0.8939, 0.8939, 0.8939)  3 Si 2.40
Ru (0.6061, 0.1061, 0.3939)  3 Si 2.40
Ru (0.7149, 0.2851, 0.7851)  6 Si 2.53-2.76
Pm (0.9447, 0.0553, 0.5553)  6 Si 2.81-2.98, 5 Ru 2.87-3.02
Si (0.6891, 0.5803, 0.9959)  4 Ru 2.40-2.58, 2 Si 2.56
Si (0.4959, 0.8109, 0.4197)  4 Ru 2.40-2.58, 2 Si 2.56

A relaxed Pm3Si2Ru crystal, computed with GGA-PBE.

Output
The total magnetization is 0.000 μB per atom. The calculation puts the volume at 580 Å³ per cell. The symmetry is No. 62. Its energy is -6.3653 eV/atom.

Cell: 4.2262 11.5852 11.8478 Å, 90.00 90.00 90.00°
Last column: nearest neighbours and their distance in Å.
Sites, in units of the cell vectors:
Pm (0.7500, 0.5552, 0.6203)  5 Si 3.01-3.12, 3 Ru 3.10-3.11
Si (0.2500, 0.6858, 0.4745)  2 Ru 2.50
Pm (0.2500, 0.1217, 0.5600)  1 Ru 2.87, 4 Si 3.08-3.10
Si (0.2500, 0.4889, 0.8027)  1 Ru 2.55
Ru (0.7500, 0.8594, 0.8710)  3 Si 2.50-2.55
Si (0.7500, 0.5111, 0.1973)  1 Ru 2.55
Pm (0.7500, 0.2986, 0.7892)  2 Ru 2.93, 4 Si 3.06-3.13
Ru (0.2500, 0.3594, 0.6290)  3 Si 2.50-2.55
Pm (0.7500, 0.6217, 0.9400)  1 Ru 2.87, 4 Si 3.08-3.10
Ru (0.2500, 0.1406, 0.1290)  3 Si 2.50-2.55
Pm (0.7500, 0.8783, 0.4400)  1 Ru 2.87, 4 Si 3.08-3.10
Pm (0.2500, 0.7986, 0.7108)  2 Ru 2.93, 4 Si 3.06-3.13
Si (0.7500, 0.1858, 0.0255)  2 Ru 2.50
Pm (0.2500, 0.4448, 0.3797)  5 Si 3.01-3.12, 3 Ru 3.10-3.11
Ru (0.7500, 0.6406, 0.3710)  3 Si 2.50-2.55
Si (0.2500, 0.0111, 0.3027)  1 Ru 2.55
Pm (0.7500, 0.9448, 0.1203)  5 Si 3.01-3.12, 3 Ru 3.10-3.11
Si (0.7500, 0.9889, 0.6973)  1 Ru 2.55
Si (0.2500, 0.8142, 0.9745)  2 Ru 2.50
Si (0.7500, 0.3142, 0.5255)  2 Ru 2.50
Pm (0.2500, 0.7014, 0.2108)  2 Ru 2.93, 4 Si 3.06-3.13
Pm (0.2500, 0.0552, 0.8797)  5 Si 3.01-3.12, 3 Ru 3.10-3.11
Pm (0.2500, 0.3783, 0.0600)  1 Ru 2.87, 4 Si 3.08-3.10
Pm (0.7500, 0.2014, 0.2892)  2 Ru 2.93, 4 Si 3.06-3.13

A relaxed Pm2Si5Ru3 crystal, computed with GGA-PBE.

Output
The total magnetization is 0.000 μB per atom. The calculation puts the volume at 338 Å³ per cell. The symmetry is No. 72. Its energy is -7.2705 eV/atom.

Cell: 5.6925 8.3091 8.3091 Å, 94.37 69.96 69.96°
Last column: nearest neighbours and their distance in Å.
Sites, in units of the cell vectors:
Si (0.6656, 0.9311, 0.7371)  3 Ru 2.42-2.46, 2 Si 2.55
Si (0.2500, 0.2093, 0.7907)  3 Ru 2.45-2.55, 2 Si 2.55
Pm (0.2671, 0.8669, 0.5986)  10 Si 2.99-3.34, 4 Ru 3.16-3.18
Si (0.2500, 0.5000, 0.5000)  4 Ru 2.45
Si (0.8344, 0.2629, 0.0689)  3 Ru 2.42-2.46, 2 Si 2.55
Si (0.1656, 0.7371, 0.9311)  3 Ru 2.42-2.46, 2 Si 2.55
Si (0.7500, 0.2092, 0.7908)  3 Ru 2.45-2.55, 2 Si 2.55
Ru (0.9067, 0.7385, 0.4483)  5 Si 2.42-2.45
Si (0.3344, 0.0689, 0.2629)  3 Ru 2.42-2.46, 2 Si 2.55
Ru (0.4067, 0.4483, 0.7385)  5 Si 2.42-2.45
Ru (0.0933, 0.2615, 0.5517)  5 Si 2.42-2.45
Pm (0.2329, 0.4014, 0.1331)  10 Si 2.99-3.34, 4 Ru 3.16-3.18
Pm (0.7329, 0.1331, 0.4014)  10 Si 2.99-3.34, 4 Ru 3.16-3.18
Si (0.7500, 0.5000, 0.5000)  4 Ru 2.45
Ru (0.7500, 0.0001, 0.9999)  6 Si 2.46-2.55
Si (0.7500, 0.7907, 0.2093)  3 Ru 2.45-2.55, 2 Si 2.55
Ru (0.2500, 0.9999, 0.0001)  6 Si 2.46-2.55
Si (0.2500, 0.7908, 0.2092)  3 Ru 2.45-2.55, 2 Si 2.55
Pm (0.7671, 0.5986, 0.8669)  10 Si 2.99-3.34, 4 Ru 3.16-3.18
Ru (0.5933, 0.5517, 0.2615)  5 Si 2.42-2.45

- Number 3 is which compound?
  Pm2Si5Ru3

- What is the total magnetization in the first record?
  0.000 μB per atom